First-principles (PBE+U) data for an optimized crystal structure of CrAg2F5, as listed in Alexandria.

The space group is C2/c (No. 15) and the conventional cell measures 11.140, 5.754 and 7.798 Å, with angles of 90.00, 110.56 and 90.00 degrees. The inequivalent atoms are Cr at (0.000, 0.000, 0.000), Ag at (0.148, 0.485, 0.322), F at (0.000, 0.047, 0.250), F at (0.126, 0.247, 0.047) and F at (0.137, 0.227, 0.583).

The calculated total energy is -0.173 Ha/atom. As for the total magnetization: 11.83 Bohr magnetons per cell.